{"formula": "Li14CdNi", "functional": "PBE", "state": "relaxed", "lattice_angstrom": [[-4.632, -2.887, 2.485], [5.563, -2.233, -0.174], [1.915, 4.121, 8.357]], "species": ["Li", "Li", "Li", "Li", "Li", "Li", "Li", "Li", "Li", "Li", "Li", "Li", "Li", "Li", "Cd", "Ni"], "fractional_positions": [[0.223, 0.777, 0.000], [0.715, 0.285, 0.000], [0.023, 0.469, 0.500], [0.223, 0.282, 0.000], [0.531, 0.977, 0.500], [0.718, 0.777, 0.000], [0.378, 0.135, 0.732], [0.378, 0.135, 0.268], [0.865, 0.622, 0.732], [0.865, 0.622, 0.268], [0.387, 0.613, 0.727], [0.387, 0.613, 0.273], [0.875, 0.125, 0.752], [0.875, 0.125, 0.248], [0.024, 0.976, 0.500], [0.533, 0.467, 0.500]], "delta_e_f_ev_per_fu": -0.051, "e_tot_ev_per_atom": -2.0963, "magmom_total_mub_per_fu": 0.00}